The following is a DFT calculation (PBE-GGA) of a geometry-optimized CaAc2Al3Au12 structure.

Cell and atoms, written as POSCAR:
```
CaAc2Al3Au12
1.0
3.474 2.005 10.258
-3.474 2.005 10.258
0.000 -4.011 10.258
Ca Ac Al Au
1 2 3 12
Cartesian
0.000 0.000 0.000 Ca
0.000 0.000 11.157 Ac
0.000 0.000 19.615 Ac
-3.474 0.000 15.386 Al
-1.737 1.003 5.129 Al
1.737 1.003 5.129 Al
0.000 -1.726 8.398 Au
-1.495 0.863 8.398 Au
-1.434 -0.828 14.107 Au
0.000 -1.655 16.666 Au
-1.434 0.828 16.666 Au
-1.495 -0.863 22.375 Au
1.495 0.863 8.398 Au
1.434 -0.828 14.107 Au
0.000 1.655 14.107 Au
1.434 0.828 16.666 Au
1.495 -0.863 22.375 Au
0.000 1.726 22.375 Au
```

Output
E_form   -0.3573 eV per atom
M_tot   0.00 μB per formula unit